(1)
Material: LaCu2Tc
Method: DFT, GGA-PBE
State: optimized geometry

Properties
The polymorph energy (0 for the lowest one) is 376 meV/atom. Its energy relative to the elements is 478.9 meV per atom. The magnetization is 1.23 μB/f.u.

a b c (Å): 4.3744 4.3744 9.4698
angles (deg): 76.65 76.65 90.00
Site moments in Bohr magnetons follow the coordinates.
Positions (direct):
Tc 0.5000 0.5000 0.0000  1.04
Tc 0.2500 0.7500 0.5000  1.04
Cu 0.4616 0.1250 0.2500  0.07
Cu 0.2884 0.6250 0.2500  0.07
Cu 0.3750 0.5384 0.7500  0.06
Cu 0.8750 0.7116 0.7500  0.06
La 0.0000 0.0000 0.0000  -0.01
La 0.7500 0.2500 0.5000  -0.01

(2)
Material: AgRu2Au
Method: DFT, GGA-PBE
State: optimized geometry

Properties
The polymorph energy (0 for the lowest one) is 367 meV/atom. Its energy relative to the elements is 580.7 meV per atom. The magnetization is 2.34 μB/f.u.

a b c (Å): 5.0805 5.0805 5.0805
angles (deg): 135.35 135.35 64.99
Site moments in Bohr magnetons follow the coordinates.
Positions (direct):
Ag 0.2500 0.7500 0.5000  0.03
Au 0.7500 0.2500 0.5000  0.04
Ru 0.0000 0.0000 0.0000  1.11
Ru 0.5000 0.5000 0.0000  1.11

(3)
Material: CsIrN2F
Method: DFT, GGA-PBE
State: optimized geometry

Properties
The polymorph energy (0 for the lowest one) is 0 meV/atom. The magnetization is 0.28 μB/f.u. The value obtained for the formation energy without anion corrections is -196 meV/atom.

a b c (Å): 3.7890 3.7890 7.7416
angles (deg): 90.00 90.00 90.00
Site moments in Bohr magnetons follow the coordinates.
Positions (direct):
Cs 0.5000 0.5000 0.5000  0.00
N 0.0000 0.5000 0.0000  0.12
N 0.5000 0.0000 0.0000  0.12
Ir 0.0000 0.0000 0.0000  -0.04
F 0.0000 0.0000 0.5000  0.00

(4)
Material: La12Tb5Sm2
Method: DFT, GGA-PBE
State: optimized geometry

Properties
The polymorph energy (0 for the lowest one) is 0 meV/atom. Its energy relative to the elements is 119.0 meV per atom. The magnetization is 0.00 μB/f.u.

a b c (Å): 10.8361 9.4136 8.1719
angles (deg): 87.07 90.00 125.14
Positions (direct):
La 0.8715 0.7430 0.1027
La 0.0404 0.6341 0.7890
La 0.5938 0.6341 0.7890
La 0.1679 0.7856 0.3869
La 0.6177 0.7856 0.3869
La 0.4469 0.8938 0.7141
La 0.5531 0.1062 0.2859
La 0.8321 0.2144 0.6131
La 0.3823 0.2144 0.6131
La 0.9596 0.3659 0.2110
La 0.4062 0.3659 0.2110
La 0.1285 0.2570 0.8973
Tb 0.2413 0.4826 0.5147
Tb 0.3417 0.6833 0.0948
Tb 0.0000 0.0000 0.5000
Tb 0.6583 0.3167 0.9052
Tb 0.7587 0.5174 0.4853
Sm 0.7290 0.0000 0.0000
Sm 0.2710 0.0000 0.0000

(5)
Material: Cd12Hg2Au7
Method: DFT, GGA-PBE
State: optimized geometry

Properties
Its energy relative to the elements is -91.5 meV per atom. The magnetization is 0.00 μB/f.u.

a b c (Å): 3.4087 12.2740 12.2740
angles (deg): 120.00 90.00 90.00
Positions (direct):
Cd 0.5000 0.8790 0.5970
Cd 0.5000 0.7180 0.1210
Cd 0.5000 0.4030 0.2820
Cd 0.5000 0.2557 0.8230
Cd 0.5000 0.5673 0.7443
Cd 0.5000 0.1770 0.4327
Cd 0.0000 0.0740 0.5806
Cd 0.0000 0.5066 0.9260
Cd 0.0000 0.4194 0.4934
Cd 0.0000 0.7850 0.7379
Cd 0.0000 0.9529 0.2150
Cd 0.0000 0.2621 0.0471
Hg 0.5000 0.0000 0.0000
Hg 0.0000 0.6667 0.3333
Au 0.0000 0.3333 0.6667
Au 0.0000 0.0482 0.8099
Au 0.0000 0.7617 0.9518
Au 0.0000 0.1901 0.2383
Au 0.5000 0.6222 0.5243
Au 0.5000 0.9021 0.3778
Au 0.5000 0.4757 0.0979

(6)
Material: LaDy12Ho6
Method: DFT, GGA-PBE
State: optimized geometry

Properties
The polymorph energy (0 for the lowest one) is 271 meV/atom. Its energy relative to the elements is 426.1 meV per atom. The magnetization is 0.00 μB/f.u.

a b c (Å): 9.3011 9.3011 9.3011
angles (deg): 107.93 107.93 107.93
Positions (direct):
La 0.0000 0.0000 0.0000
Dy 0.8897 0.1103 0.5000
Dy 0.3756 0.1601 0.3756
Dy 0.3756 0.3756 0.1601
Dy 0.8399 0.6244 0.6244
Dy 0.6244 0.6244 0.8399
Dy 0.6244 0.8399 0.6244
Dy 0.5000 0.8897 0.1103
Dy 0.1103 0.5000 0.8897
Dy 0.1103 0.8897 0.5000
Dy 0.5000 0.1103 0.8897
Dy 0.8897 0.5000 0.1103
Dy 0.1601 0.3756 0.3756
Ho 0.6869 0.2578 0.6869
Ho 0.6869 0.6869 0.2578
Ho 0.2578 0.6869 0.6869
Ho 0.3131 0.3131 0.7422
Ho 0.3131 0.7422 0.3131
Ho 0.7422 0.3131 0.3131

(7)
Material: LaNd3Rh
Method: DFT, GGA-PBE
State: optimized geometry

Properties
The polymorph energy (0 for the lowest one) is 36 meV/atom. Its energy relative to the elements is -212.9 meV per atom. The magnetization is 0.00 μB/f.u.

a b c (Å): 6.7700 7.1308 7.1308
angles (deg): 90.94 74.95 74.95
Positions (direct):
La 0.7734 0.9309 0.9309
La 0.2266 0.0691 0.0691
Nd 0.2293 0.0683 0.5671
Nd 0.2293 0.5671 0.0683
Nd 0.7707 0.4329 0.9317
Nd 0.2295 0.5668 0.5668
Nd 0.7707 0.9317 0.4329
Nd 0.7705 0.4332 0.4332
Rh 0.5048 0.2465 0.2465
Rh 0.4952 0.7535 0.7535

(8)
Material: Cs2AgPdCl6
Method: DFT, GGA-PBE
State: optimized geometry

Properties
The magnetization is 0.62 μB/f.u. The value obtained for the formation energy without anion corrections is -1099 meV/atom.

a b c (Å): 7.3437 7.3437 13.0705
angles (deg): 73.68 73.68 60.00
Site moments in Bohr magnetons follow the coordinates.
Positions (direct):
Cs 0.8758 0.8758 0.3727  0.00
Cs 0.1242 0.1242 0.6273  0.00
Cs 0.7078 0.7078 0.8767  0.00
Cs 0.2922 0.2922 0.1233  0.00
Ag 0.5894 0.5894 0.2318  0.00
Ag 0.4106 0.4106 0.7682  0.00
Pd 0.0000 0.0000 0.0000  -0.01
Pd 0.5000 0.5000 0.5000  -0.64
Cl 0.8540 0.3815 0.3830  -0.07
Cl 0.3815 0.8540 0.3830  -0.07
Cl 0.3815 0.3815 0.3830  -0.07
Cl 0.1460 0.6185 0.6170  -0.07
Cl 0.6185 0.1460 0.6170  -0.07
Cl 0.6185 0.6185 0.6170  -0.07
Cl 0.7197 0.1973 0.8857  0.00
Cl 0.1973 0.7197 0.8857  0.00
Cl 0.1973 0.1973 0.8857  0.00
Cl 0.2803 0.8027 0.1143  0.00
Cl 0.8027 0.2803 0.1143  0.00
Cl 0.8027 0.8027 0.1143  0.00

(9)
Material: Zn2SbRh
Method: DFT, GGA-PBE
State: optimized geometry

Properties
The magnetization is 0.00 μB/f.u. The value obtained for the formation energy without anion corrections is -118 meV/atom.

a b c (Å): 4.5857 4.5857 5.2377
angles (deg): 82.83 82.83 40.60
Positions (direct):
Rh 0.4963 0.4963 0.5413
Sb 0.2268 0.2268 0.2806
Zn 0.0163 0.0163 0.9344
Zn 0.7606 0.7606 0.7438

(10)
Material: LiYMnIn
Method: DFT, GGA-PBE
State: optimized geometry

Properties
Its energy relative to the elements is -81.5 meV per atom. The magnetization is 3.98 μB/f.u.

a b c (Å): 4.8477 4.8477 4.8477
angles (deg): 60.00 60.00 60.00
Site moments in Bohr magnetons follow the coordinates.
Positions (direct):
Y 0.7500 0.7500 0.7500  0.07
Mn 0.0000 0.0000 0.0000  3.57
Li 0.5000 0.5000 0.5000  -0.03
In 0.2500 0.2500 0.2500  -0.01

(11)
Material: Os2C
Method: DFT, GGA-PBE
State: optimized geometry

Properties
The polymorph energy (0 for the lowest one) is 1848 meV/atom. Its energy relative to the elements is 2352.6 meV per atom. The magnetization is 0.00 μB/f.u.

a b c (Å): 4.2038 4.2038 2.6732
angles (deg): 90.00 90.00 120.00
Positions (direct):
C 0.0000 0.0000 0.0000
Os 0.3333 0.6667 0.5000
Os 0.6667 0.3333 0.5000

(12)
Material: ScCr3In
Method: DFT, GGA-PBE
State: optimized geometry

Properties
The polymorph energy (0 for the lowest one) is 239 meV/atom. Its energy relative to the elements is 1964.0 meV per atom. The magnetization is 0.00 μB/f.u.

a b c (Å): 4.7128 4.7128 4.7128
angles (deg): 90.00 90.00 90.00
Positions (direct):
Sc 0.5000 0.5000 0.5000
Cr 0.0000 0.5000 0.0000
Cr 0.0000 0.0000 0.5000
Cr 0.5000 0.0000 0.0000
In 0.0000 0.0000 0.0000